# KBaCr2

Crystalline KBaCr2 at its relaxed geometry (PBE, Alexandria via LeMat-Bulk).

## Properties
total moment = 9.12 μB per formula unit
energy above the lowest structure with this stoichiometry = 464 meV/atom
ΔH_f (0 K) = 1165 meV/atom

Lattice parameters (Å, degrees): 5.8855 5.8855 8.1084 96.95 96.95 34.30
With the nearest neighbours (Å) after each atom.
Positions (direct):
K (0.0000, 0.0000, 0.0000)  2 K 3.47
Ba (0.5000, 0.5000, 0.5000)  6 Cr 3.25-3.46, 2 Ba 3.47
Cr (0.2526, 0.2526, 0.6675)  4 Cr 3.22-3.47, 3 Ba 3.25-3.46
Cr (0.7474, 0.7474, 0.3325)  4 Cr 3.22-3.47, 3 Ba 3.25-3.46

# SmEr4In3

Crystalline SmEr4In3 at its relaxed geometry (PBE, Alexandria via LeMat-Bulk).

## Properties
total moment = 0.67 μB per formula unit
energy above the lowest structure with this stoichiometry = 97 meV/atom
ΔH_f (0 K) = -208 meV/atom

Lattice parameters (Å, degrees): 8.9483 8.9483 8.9483 157.66 121.46 63.46
With the nearest neighbours (Å) after each atom.
Positions (direct):
Sm (0.0000, 0.0000, 0.0000)  4 In 3.32, 4 Er 3.41, 2 Sm 3.47
Er (0.1612, 0.8589, 0.3023)  5 In 3.15-3.26, 1 Sm 3.41, 3 Er 3.46-3.47
Er (0.4434, 0.1411, 0.3023)  5 In 3.15-3.26, 1 Sm 3.41, 3 Er 3.46-3.47
Er (0.5566, 0.8589, 0.6977)  5 In 3.15-3.26, 1 Sm 3.41, 3 Er 3.46-3.47
Er (0.8388, 0.1411, 0.6977)  5 In 3.15-3.26, 1 Sm 3.41, 3 Er 3.46-3.47
In (0.1860, 0.6860, 0.5000)  6 Er 3.15-3.24, 2 Sm 3.32, 2 In 3.47
In (0.5000, 0.5000, 0.0000)  8 Er 3.26, 2 In 3.47
In (0.8140, 0.3140, 0.5000)  6 Er 3.15-3.24, 2 Sm 3.32, 2 In 3.47

# MnIrOs2

Crystalline MnIrOs2 at its relaxed geometry (PBE, Alexandria via LeMat-Bulk).

## Properties
total moment = 3.45 μB per formula unit
energy above the lowest structure with this stoichiometry = 420 meV/atom
ΔH_f (0 K) = 417 meV/atom

Lattice parameters (Å, degrees): 2.6883 2.6883 9.0601 90.00 90.00 118.12
With the nearest neighbours (Å) after each atom.
Positions (direct):
Mn (0.0000, 0.0000, 0.0000)  2 Os 2.57, 2 Ir 2.58, 6 Mn 2.69-2.76
Ir (0.5000, 0.5000, 0.7591)  2 Mn 2.58, 6 Ir 2.69-2.76, 2 Os 2.75
Os (0.0000, 0.0000, 0.4967)  8 Os 2.69-2.76, 2 Ir 2.75
Os (0.5000, 0.5000, 0.2396)  2 Mn 2.57, 8 Os 2.69-2.76

# Zn2InSi

Crystalline Zn2InSi at its relaxed geometry (PBE, Alexandria via LeMat-Bulk).

## Properties
total moment = 0.00 μB per formula unit
energy above the lowest structure with this stoichiometry = 61 meV/atom
E_form (uncorrected) = 273 meV per atom

Lattice parameters (Å, degrees): 3.2936 4.3849 5.3176 90.00 92.17 90.00
With the nearest neighbours (Å) after each atom.
Positions (direct):
Zn (0.0181, 0.0000, 0.2463)  2 Si 2.58, 2 Zn 2.62-2.71
Zn (0.9819, 0.0000, 0.7537)  2 Si 2.58, 2 Zn 2.62-2.71
In (0.5000, 0.5000, 0.0000)  8 Zn 3.03-3.04, 4 Si 3.07-3.18, 2 In 3.29
Si (0.0000, 0.5000, 0.5000)  4 Zn 2.58

# Tm4BiPbN

Crystalline Tm4BiPbN at its relaxed geometry (PBE, Alexandria via LeMat-Bulk).

## Properties
total moment = 0.00 μB per formula unit
E_form (uncorrected) = -867 meV per atom

Lattice parameters (Å, degrees): 8.5823 8.5823 6.6140 90.00 90.00 134.66
With the nearest neighbours (Å) after each atom.
Positions (direct):
Tm (0.0000, 0.5000, 0.0000)  2 N 2.34
Tm (0.0000, 0.5000, 0.5000)  2 N 2.34
Tm (0.0953, 0.9047, 0.7500)  1 N 2.43
Tm (0.4027, 0.5973, 0.7500)  1 N 2.44
Tm (0.5000, 0.0000, 0.0000)  2 N 2.34
Tm (0.5000, 0.0000, 0.5000)  2 N 2.34
Tm (0.5973, 0.4027, 0.2500)  1 N 2.44
Tm (0.9047, 0.0953, 0.2500)  1 N 2.43
Bi (0.3962, 0.6038, 0.2500)  9 Tm 3.19-3.31
Bi (0.6038, 0.3962, 0.7500)  9 Tm 3.19-3.31
Pb (0.1042, 0.8958, 0.2500)  9 Tm 3.16-3.31
Pb (0.8958, 0.1042, 0.7500)  9 Tm 3.16-3.31
N (0.2488, 0.7512, 0.7500)  6 Tm 2.34-2.44
N (0.7512, 0.2488, 0.2500)  6 Tm 2.34-2.44

# LaSn2Pb

Crystalline LaSn2Pb at its relaxed geometry (PBE, Alexandria via LeMat-Bulk).

## Properties
total moment = 0.00 μB per formula unit
ΔH_f (0 K) = -527 meV/atom

Lattice parameters (Å, degrees): 4.8762 4.8762 4.8341 90.00 90.00 90.00
With the nearest neighbours (Å) after each atom.
Positions (direct):
La (0.0000, 0.0000, 0.0000)  8 Sn 3.43, 4 Pb 3.45
Sn (0.0000, 0.5000, 0.5000)  4 Pb 3.43, 4 La 3.43, 4 Sn 3.45
Sn (0.5000, 0.0000, 0.5000)  4 Pb 3.43, 4 La 3.43, 4 Sn 3.45
Pb (0.5000, 0.5000, 0.0000)  8 Sn 3.43, 4 La 3.45

# Y6Mg5Sb

Crystalline Y6Mg5Sb at its relaxed geometry (PBE, Alexandria via LeMat-Bulk).

## Properties
total moment = 0.00 μB per formula unit
E_form (uncorrected) = -266 meV per atom

Lattice parameters (Å, degrees): 8.5291 8.5291 7.4418 90.00 90.00 143.22
With the nearest neighbours (Å) after each atom.
Positions (direct):
Y (0.0000, 0.0000, 0.2470)  2 Sb 3.26, 6 Mg 3.27-3.38
Y (0.0000, 0.0000, 0.7530)  2 Sb 3.26, 6 Mg 3.27-3.38
Y (0.3343, 0.6657, 0.2528)  7 Mg 3.19-3.30, 1 Sb 3.28
Y (0.3343, 0.6657, 0.7472)  7 Mg 3.19-3.30, 1 Sb 3.28
Y (0.6657, 0.3343, 0.2528)  7 Mg 3.19-3.30, 1 Sb 3.28
Y (0.6657, 0.3343, 0.7472)  7 Mg 3.19-3.30, 1 Sb 3.28
Mg (0.1653, 0.8347, 0.5000)  8 Y 3.26-3.30
Mg (0.1754, 0.8246, 0.0000)  8 Y 3.19-3.38
Mg (0.5000, 0.5000, 0.5000)  8 Y 3.25-3.28
Mg (0.8246, 0.1754, 0.0000)  8 Y 3.19-3.38
Mg (0.8347, 0.1653, 0.5000)  8 Y 3.26-3.30
Sb (0.5000, 0.5000, 0.0000)  8 Y 3.26-3.28

# TcRuPt

Crystalline TcRuPt at its relaxed geometry (PBE, Alexandria via LeMat-Bulk).

## Properties
total moment = 0.00 μB per formula unit
energy above the lowest structure with this stoichiometry = 0 meV/atom
ΔH_f (0 K) = -90 meV/atom

Lattice parameters (Å, degrees): 6.1525 6.1525 6.1525 154.19 154.19 36.83
With the nearest neighbours (Å) after each atom.
Positions (direct):
Tc (0.0000, 0.0000, 0.0000)  4 Ru 2.61, 4 Tc 2.75, 4 Pt 2.80
Ru (0.6497, 0.6497, 0.0000)  4 Tc 2.61, 4 Ru 2.75, 4 Pt 2.84
Pt (0.3275, 0.3275, 0.0000)  4 Pt 2.75, 4 Tc 2.80, 4 Ru 2.84